DFT (PBE-GGA) results for a relaxed structure of Co3Mo.

As for the formation energy: 0.08 eV/atom. The total DFT energy (no corrections) comes out at -31.84 eV/f.u. The density of states at the Fermi level is 4.48 states/eV/cell.

The structure belongs to space group Pmmm (No. 47); the cell edges are 2.610, 3.529 and 5.156 Å and the angles 90.00°, 90.00° and 90.00°. Symmetry generates all atoms from Co at (0.000, 0.000, 0.000), Co at (0.500, 0.500, 0.234) and Mo at (0.000, 0.000, 0.500).